Record 1
A plane-wave DFT calculation with PBE was carried out for a geometry-optimized K2Sn2Au3 structure.

Computed properties:
**Distance to the lowest polymorph of the same formula**: 0 meV/atom
**ΔE_f**: -33 kJ per mole of atoms

Unit cell a=12.190 b=4.827 c=7.193 alpha=90.00 beta=96.44 gamma=90.00
Space group C2/m (No. 12)
Inequivalent atoms, fractional coordinates:
1 K 0.139 0.000 0.340 x4
2 Sn 0.086 0.500 0.865 x4
3 Au 0.000 0.500 0.500 x2
4 Au 0.195 0.000 0.918 x4

=====

Record 2
A plane-wave DFT calculation with PBE was carried out for a geometry-optimized K3Sn7Au4 structure.

Computed properties:
**ΔE_f**: -24 kJ per mole of atoms

Unit cell a=17.920 b=4.814 c=10.658 alpha=90.00 beta=124.99 gamma=90.00
Space group C2/m (No. 12)
Inequivalent atoms, fractional coordinates:
1 K 0.000 0.000 0.000 x2
2 K 0.189 0.500 0.694 x4
3 Sn 0.000 0.000 0.500 x2
4 Sn 0.001 0.500 0.288 x4
5 Sn 0.159 0.000 0.423 x4
6 Sn 0.179 0.500 0.034 x4
7 Au 0.129 0.000 0.857 x4
8 Au 0.163 0.500 0.286 x4

=====

Record 3
A plane-wave DFT calculation with PBE was carried out for a geometry-optimized KSn2Au2 structure.

Computed properties:
**Distance to the lowest polymorph of the same formula**: 0 meV/atom
**ΔE_f**: -27 kJ per mole of atoms

Unit cell a=4.960 b=4.960 c=11.208 alpha=90.00 beta=90.00 gamma=90.00
Space group I4/mmm (No. 139)
Inequivalent atoms, fractional coordinates:
1 K 0.000 0.000 0.000 x2
2 Sn 0.000 0.000 0.365 x4
3 Au 0.000 0.500 0.250 x4

=====

Record 4
A plane-wave DFT calculation with PBE was carried out for a geometry-optimized K3Sn3Au2 structure.

Computed properties:
**Distance to the lowest polymorph of the same formula**: 0 meV/atom
**ΔE_f**: -27 kJ per mole of atoms

Unit cell a=4.567 b=12.855 c=17.958 alpha=90.00 beta=90.00 gamma=90.00
Space group Cmcm (No. 63)
Inequivalent atoms, fractional coordinates:
1 K 0.000 0.025 0.106 x8
2 K 0.000 0.343 0.250 x4
3 Sn 0.000 0.314 0.039 x8
4 Sn 0.000 0.368 0.750 x4
5 Au 0.000 0.273 0.616 x8

=====

Record 5
A plane-wave DFT calculation with PBE was carried out for a geometry-optimized K2TaSnAu structure.

Computed properties:
**ΔE_f**: 129 kJ per mole of atoms

Unit cell a=6.677 b=6.677 c=5.031 alpha=90.00 beta=90.00 gamma=90.00
Space group P4/mmm (No. 123)
Inequivalent atoms, fractional coordinates:
1 K 0.000 0.500 0.000 x2
2 Ta 0.000 0.000 0.500 x1
3 Sn 0.500 0.500 0.000 x1
4 Au 0.500 0.500 0.500 x1

=====

Record 6
A plane-wave DFT calculation with PBE was carried out for a geometry-optimized K2SnTe4Au structure.

Computed properties:
**Formation energy from raw total energies**: -0.45 eV per atom

Unit cell a=7.284 b=13.192 c=24.747 alpha=90.00 beta=90.00 gamma=90.00
Space group Fddd (No. 70, origin choice 2)
Inequivalent atoms, fractional coordinates:
1 K 0.125 0.125 0.312 x16
2 Sn 0.125 0.125 0.125 x8
3 Te 0.125 0.270 0.441 x32
4 Au 0.125 0.125 0.625 x8

=====

Record 7
A plane-wave DFT calculation with PBE was carried out for a geometry-optimized K2TlSn3Au4 structure.

Computed properties:
**ΔE_f**: -27 kJ per mole of atoms

Unit cell a=5.043 b=5.043 c=10.808 alpha=90.00 beta=90.00 gamma=90.00
Space group P-4m2 (No. 115)
Inequivalent atoms, fractional coordinates:
1 K 0.000 0.500 0.244 x2
2 Tl 0.000 0.000 0.500 x1
3 Sn 0.000 0.500 0.886 x2
4 Sn 0.500 0.500 0.500 x1
5 Au 0.000 0.000 0.000 x1
6 Au 0.000 0.500 0.632 x2
7 Au 0.500 0.500 0.000 x1

=====

Record 8
A plane-wave DFT calculation with PBE was carried out for a geometry-optimized KTlSnAu2 structure.

Computed properties:
**ΔE_f**: -1 kJ per mole of atoms

Unit cell a=5.387 b=5.387 c=5.805 alpha=90.00 beta=90.00 gamma=90.00
Space group P4/mmm (No. 123)
Inequivalent atoms, fractional coordinates:
1 K 0.000 0.000 0.000 x1
2 Tl 0.500 0.500 0.000 x1
3 Sn 0.500 0.500 0.500 x1
4 Au 0.000 0.500 0.500 x2

=====

Record 9
A plane-wave DFT calculation with PBE was carried out for a geometry-optimized KTlSnAu structure.

Computed properties:
**Distance to the lowest polymorph of the same formula**: 176 meV/atom
**ΔE_f**: -5 kJ per mole of atoms

Unit cell a=7.579 b=7.579 c=7.579 alpha=90.00 beta=90.00 gamma=90.00
Space group F-43m (No. 216)
Inequivalent atoms, fractional coordinates:
1 K 0.000 0.000 0.000 x4
2 Tl 0.250 0.250 0.250 x4
3 Sn 0.000 0.000 0.500 x4
4 Au 0.250 0.250 0.750 x4

=====

Record 10
A plane-wave DFT calculation with PBE was carried out for a geometry-optimized K2Tl4SnAu3 structure.

Computed properties:
**ΔE_f**: -14 kJ per mole of atoms

Unit cell a=4.932 b=4.932 c=12.431 alpha=90.00 beta=90.00 gamma=90.00
Space group P-4m2 (No. 115)
Inequivalent atoms, fractional coordinates:
1 K 0.000 0.500 0.248 x2
2 Tl 0.000 0.000 0.500 x1
3 Tl 0.000 0.500 0.860 x2
4 Tl 0.500 0.500 0.500 x1
5 Sn 0.500 0.500 0.000 x1
6 Au 0.000 0.000 0.000 x1
7 Au 0.000 0.500 0.633 x2

=====

What did we get for total moment? Answer: 0.00 0.00 0.00 0.00 3.57 0.00 0.00 0.00 0.00 0.00 μB/f.u., in the order shown.
What did we get for raw total energy? Answer: -3.2007 -3.4212 -3.4091 -3.0140 -2.9307 -3.2096 -3.2457 -2.8146 -2.7358 -2.6909 eV per atom, in the order shown.
What did we get for DOS(E_F)? Answer: 0.226 0.525 0.469 0.445 2.212 0.424 0.450 0.649 0.835 0.534 states/eV/atom, in the order shown.